The following is a PBE-GGA calculation of a relaxed structure of TlWSe, from Alexandria via LeMat-Bulk.

Summary:
Excess energy over the best structure of this formula in the dataset (eV/f.u.): 3.809
ΔE_f (raw) (meV/atom): 1343

Cell and atoms, written as CIF:
```
data_TlWSe
_cell_length_a 4.568
_cell_length_b 4.568
_cell_length_c 4.568
_cell_angle_alpha 60.00
_cell_angle_beta 60.00
_cell_angle_gamma 60.00
_symmetry_space_group_name_H-M 'P 1'
_symmetry_Int_Tables_number 1
loop_
_symmetry_equiv_pos_as_xyz
'x,y,z'
loop_
_atom_site_label
_atom_site_type_symbol
_atom_site_fract_x
_atom_site_fract_y
_atom_site_fract_z
Tl1 Tl 0.000 0.000 0.000
W1 W 0.500 0.500 0.500
Se1 Se 0.250 0.250 0.250
```

=====

The following is a PBE-GGA calculation of a relaxed structure of Tl2WSe, from Alexandria via LeMat-Bulk.

Summary:
Excess energy over the best structure of this formula in the dataset (eV/f.u.): 2.415
ΔE_f (raw) (meV/atom): 861

Cell and atoms, written as CIF:
```
data_Tl2WSe
_cell_length_a 2.948
_cell_length_b 2.948
_cell_length_c 10.951
_cell_angle_alpha 90.00
_cell_angle_beta 90.00
_cell_angle_gamma 107.11
_symmetry_space_group_name_H-M 'P 1'
_symmetry_Int_Tables_number 1
loop_
_symmetry_equiv_pos_as_xyz
'x,y,z'
loop_
_atom_site_label
_atom_site_type_symbol
_atom_site_fract_x
_atom_site_fract_y
_atom_site_fract_z
Tl1 Tl 0.000 0.000 0.232
Tl2 Tl 0.000 0.000 0.768
W1 W 0.500 0.500 0.000
Se1 Se 0.500 0.500 0.500
```

=====

The following is a PBE-GGA calculation of a relaxed structure of TlW4Se, from Alexandria via LeMat-Bulk.

Summary:
ΔE_f (raw) (meV/atom): 950

Cell and atoms, written as CIF:
```
data_TlW4Se
_cell_length_a 5.412
_cell_length_b 5.412
_cell_length_c 5.412
_cell_angle_alpha 60.00
_cell_angle_beta 60.00
_cell_angle_gamma 60.00
_symmetry_space_group_name_H-M 'P 1'
_symmetry_Int_Tables_number 1
loop_
_symmetry_equiv_pos_as_xyz
'x,y,z'
loop_
_atom_site_label
_atom_site_type_symbol
_atom_site_fract_x
_atom_site_fract_y
_atom_site_fract_z
Tl1 Tl 0.000 0.000 0.000
W1 W 0.127 0.624 0.624
W2 W 0.624 0.127 0.624
W3 W 0.624 0.624 0.127
W4 W 0.624 0.624 0.624
Se1 Se 0.250 0.250 0.250
```

=====

The following is a PBE-GGA calculation of a relaxed structure of TlWSe, from Alexandria via LeMat-Bulk.

Summary:
Excess energy over the best structure of this formula in the dataset (eV/f.u.): 0.538
ΔE_f (raw) (meV/atom): 253

Cell and atoms, written as CIF:
```
data_TlWSe
_cell_length_a 3.166
_cell_length_b 3.166
_cell_length_c 8.019
_cell_angle_alpha 90.00
_cell_angle_beta 90.00
_cell_angle_gamma 120.00
_symmetry_space_group_name_H-M 'P 1'
_symmetry_Int_Tables_number 1
loop_
_symmetry_equiv_pos_as_xyz
'x,y,z'
loop_
_atom_site_label
_atom_site_type_symbol
_atom_site_fract_x
_atom_site_fract_y
_atom_site_fract_z
Tl1 Tl 0.000 0.000 0.000
W1 W 0.667 0.333 0.324
Se1 Se 0.333 0.667 0.538
```

=====

The following is a PBE-GGA calculation of a relaxed structure of TlWSe, from Alexandria via LeMat-Bulk.

Summary:
Excess energy over the best structure of this formula in the dataset (eV/f.u.): 2.037
ΔE_f (raw) (meV/atom): 752

Cell and atoms, written as CIF:
```
data_TlWSe
_cell_length_a 4.523
_cell_length_b 4.523
_cell_length_c 3.393
_cell_angle_alpha 90.00
_cell_angle_beta 90.00
_cell_angle_gamma 120.00
_symmetry_space_group_name_H-M 'P 1'
_symmetry_Int_Tables_number 1
loop_
_symmetry_equiv_pos_as_xyz
'x,y,z'
loop_
_atom_site_label
_atom_site_type_symbol
_atom_site_fract_x
_atom_site_fract_y
_atom_site_fract_z
Tl1 Tl 0.000 0.000 0.000
W1 W 0.333 0.667 0.500
Se1 Se 0.667 0.333 0.500
```

=====

The following is a PBE-GGA calculation of a relaxed structure of Tl3WSe, from Alexandria via LeMat-Bulk.

Summary:
Excess energy over the best structure of this formula in the dataset (eV/f.u.): 2.723
ΔE_f (raw) (meV/atom): 1426

Cell and atoms, written as CIF:
```
data_Tl3WSe
_cell_length_a 5.755
_cell_length_b 5.755
_cell_length_c 5.755
_cell_angle_alpha 90.00
_cell_angle_beta 90.00
_cell_angle_gamma 90.00
_symmetry_space_group_name_H-M 'P 1'
_symmetry_Int_Tables_number 1
loop_
_symmetry_equiv_pos_as_xyz
'x,y,z'
loop_
_atom_site_label
_atom_site_type_symbol
_atom_site_fract_x
_atom_site_fract_y
_atom_site_fract_z
Tl1 Tl 0.000 0.000 0.500
Tl2 Tl 0.000 0.500 0.000
Tl3 Tl 0.500 0.000 0.000
W1 W 0.500 0.500 0.500
Se1 Se 0.000 0.000 0.000
```

=====

no.,Fermi-level density of states (states/eV per atom)
1,0.9150
2,0.9860
3,0.8331
4,0.6667
5,1.1073
6,0.6131